a.
Computed, not measured: a relaxed structure of NbCoHgGe at the GGA-PBE level of DFT.

```
NbCoHgGe
1.0
0.000 3.235 3.235
3.235 0.000 3.235
3.235 3.235 0.000
Co Ge Hg Nb
1 1 1 1
Direct
0.750 0.750 0.750
0.000 0.000 0.000
0.250 0.250 0.250
0.500 0.500 0.500
```

Calculated values
SG: F-43m, No. 216
V, A^3/atom: 16.92
Spin magnetization, μB per atom: 0.00

---

b.
Computed, not measured: a relaxed structure of NbCoHgGe at the GGA-PBE level of DFT.

```
NbCoHgGe
1.0
0.000 3.200 3.200
3.200 0.000 3.200
3.200 3.200 0.000
Co Ge Hg Nb
1 1 1 1
Direct
0.750 0.750 0.750
0.000 0.000 0.000
0.500 0.500 0.500
0.250 0.250 0.250
```

Calculated values
SG: F-43m, No. 216
V, A^3/atom: 16.38
Spin magnetization, μB per atom: 0.26

---

The energy of each structure relative to the most stable one, in meV/atom, is as follows: a 152; b 0.

---

a.
Computed, not measured: a relaxed structure of CoHgGeS3 at the GGA-PBE level of DFT.

```
CoHgGeS3
1.0
7.582 -1.731 0.000
7.582 1.731 0.000
0.000 0.000 8.960
Co Ge Hg S
2 2 2 6
Direct
0.000 0.000 0.000
0.000 0.000 0.500
0.643 0.643 0.250
0.357 0.357 0.750
0.288 0.288 0.250
0.712 0.712 0.750
0.403 0.403 0.021
0.033 0.033 0.250
0.403 0.403 0.479
0.597 0.597 0.521
0.967 0.967 0.750
0.597 0.597 0.979
```

Calculated values
SG: Cmcm, No. 63
V, A^3/atom: 19.59
Spin magnetization, μB per atom: 0.00

---

b.
Computed, not measured: a relaxed structure of CoHgGeS3 at the GGA-PBE level of DFT.

```
CoHgGeS3
1.0
6.716 -1.694 0.000
6.716 1.694 0.000
0.000 0.000 11.674
Co Ge Hg S
2 2 2 6
Direct
0.411 0.411 0.250
0.589 0.589 0.750
0.719 0.719 0.250
0.281 0.281 0.750
0.000 0.000 0.000
0.000 0.000 0.500
0.298 0.298 0.120
0.005 0.005 0.250
0.298 0.298 0.380
0.702 0.702 0.620
0.995 0.995 0.750
0.702 0.702 0.880
```

Calculated values
SG: Cmcm, No. 63
V, A^3/atom: 22.13
Spin magnetization, μB per atom: 0.00

---

The energy of each structure relative to the most stable one, in meV/atom, is as follows: a 0; b 210.

---

a.
Computed, not measured: a relaxed structure of TaCoHgGe at the GGA-PBE level of DFT.

```
TaCoHgGe
1.0
-1.899 -3.990 -0.848
-1.591 -2.499 3.386
-4.439 -0.533 0.510
Co Ge Hg Ta
1 1 1 1
Direct
0.750 0.750 0.750
0.000 0.000 0.000
0.500 0.500 0.500
0.250 0.250 0.250
```

Calculated values
SG: F-43m, No. 216
V, A^3/atom: 16.10
Spin magnetization, μB per atom: 0.11

---

b.
Computed, not measured: a relaxed structure of TaCoHgGe at the GGA-PBE level of DFT.

```
TaCoHgGe
1.0
-3.192 -3.048 1.227
-3.580 1.326 2.530
-4.180 0.184 -1.865
Co Ge Hg Ta
1 1 1 1
Direct
0.750 0.750 0.750
0.000 0.000 0.000
0.250 0.250 0.250
0.500 0.500 0.500
```

Calculated values
SG: F-43m, No. 216
V, A^3/atom: 16.99
Spin magnetization, μB per atom: 0.00

---

The energy of each structure relative to the most stable one, in meV/atom, is as follows: a 0; b 110.

---

a.
Computed, not measured: a relaxed structure of CoHgGeTe3 at the GGA-PBE level of DFT.

```
CoHgGeTe3
1.0
8.098 -1.922 0.000
8.098 1.922 0.000
0.000 0.000 10.355
Co Ge Hg Te
2 2 2 6
Direct
0.000 0.000 0.000
0.000 0.000 0.500
0.655 0.655 0.250
0.345 0.345 0.750
0.284 0.284 0.250
0.716 0.716 0.750
0.396 0.396 0.020
0.030 0.030 0.250
0.396 0.396 0.480
0.604 0.604 0.520
0.970 0.970 0.750
0.604 0.604 0.980
```

Calculated values
SG: Cmcm, No. 63
V, A^3/atom: 26.86
Spin magnetization, μB per atom: 0.00

---

b.
Computed, not measured: a relaxed structure of CoHgGeTe3 at the GGA-PBE level of DFT.

```
CoHgGeTe3
1.0
0.287 2.167 -6.346
-3.231 0.430 -5.868
-4.989 11.080 3.559
Co Ge Hg Te
2 2 2 6
Direct
0.421 0.421 0.250
0.579 0.579 0.750
0.793 0.793 0.250
0.207 0.207 0.750
0.000 0.000 0.000
0.000 0.000 0.500
0.340 0.340 0.072
0.038 0.038 0.250
0.340 0.340 0.428
0.660 0.660 0.572
0.962 0.962 0.750
0.660 0.660 0.928
```

Calculated values
SG: Cmcm, No. 63
V, A^3/atom: 26.76
Spin magnetization, μB per atom: 0.00

---

The energy of each structure relative to the most stable one, in meV/atom, is as follows: a 0; b 106.

---

a.
Computed, not measured: a relaxed structure of ScCoGeIr at the GGA-PBE level of DFT.

```
ScCoGeIr
1.0
0.000 3.077 3.077
3.077 0.000 3.077
3.077 3.077 0.000
Co Ge Ir Sc
1 1 1 1
Direct
0.750 0.750 0.750
0.000 0.000 0.000
0.250 0.250 0.250
0.500 0.500 0.500
```

Calculated values
SG: F-43m, No. 216
V, A^3/atom: 14.57
Spin magnetization, μB per atom: 0.25

---

b.
Computed, not measured: a relaxed structure of ScCoGeIr at the GGA-PBE level of DFT.

```
ScCoGeIr
1.0
0.000 3.132 3.132
3.132 0.000 3.132
3.132 3.132 0.000
Co Ge Ir Sc
1 1 1 1
Direct
0.750 0.750 0.750
0.000 0.000 0.000
0.500 0.500 0.500
0.250 0.250 0.250
```

Calculated values
SG: F-43m, No. 216
V, A^3/atom: 15.36
Spin magnetization, μB per atom: 0.48

---

The energy of each structure relative to the most stable one, in meV/atom, is as follows: a 0; b 359.

---

a.
Computed, not measured: a relaxed structure of TaCoGeIr at the GGA-PBE level of DFT.

```
TaCoGeIr
1.0
0.000 3.089 3.089
3.089 0.000 3.089
3.089 3.089 0.000
Co Ge Ir Ta
1 1 1 1
Direct
0.750 0.750 0.750
0.000 0.000 0.000
0.250 0.250 0.250
0.500 0.500 0.500
```

Calculated values
SG: F-43m, No. 216
V, A^3/atom: 14.74
Spin magnetization, μB per atom: 0.30

---

b.
Computed, not measured: a relaxed structure of TaCoGeIr at the GGA-PBE level of DFT.

```
TaCoGeIr
1.0
0.000 3.096 3.096
3.096 0.000 3.096
3.096 3.096 0.000
Co Ge Ir Ta
1 1 1 1
Direct
0.750 0.750 0.750
0.000 0.000 0.000
0.500 0.500 0.500
0.250 0.250 0.250
```

Calculated values
SG: F-43m, No. 216
V, A^3/atom: 14.84
Spin magnetization, μB per atom: 0.33

---

The energy of each structure relative to the most stable one, in meV/atom, is as follows: a 0; b 131.